No. 1
Below is a geometry-optimized NiTe2H structure, with properties calculated at the PBE-GGA level.

Lattice parameters (Å, degrees): 3.9442 3.9442 19.7020 90.00 90.00 120.00
Closest atoms and distances in Å follow each position.
Fractional coordinates of all 12 atoms:
1 Ni 0.0000 0.0000 0.0000  6 Te 2.62
2 Ni 0.3333 0.6667 0.6667  6 Te 2.62
3 Ni 0.6667 0.3333 0.3333  6 Te 2.62
4 Te 0.0000 0.0000 0.3989  1 H 1.99
5 Te 0.0000 0.0000 0.6011  1 H 1.99
6 Te 0.3333 0.6667 0.0656  1 H 1.99
7 Te 0.3333 0.6667 0.2678  1 H 1.99
8 Te 0.6667 0.3333 0.7322  1 H 1.99
9 Te 0.6667 0.3333 0.9344  1 H 1.99
10 H 0.0000 0.0000 0.5000  2 Te 1.99
11 H 0.3333 0.6667 0.1667  2 Te 1.99
12 H 0.6667 0.3333 0.8333  2 Te 1.99

Computed properties:
- DFT total energy: -3.8296 eV per atom
- Magnetic moment: 0.00 μB per cell

---

No. 2
Below is a geometry-optimized Ca3TaTl3Te8 structure, with properties calculated at the PBE-GGA level.

Lattice parameters (Å, degrees): 9.2307 9.2307 9.2307 58.44 58.44 58.44
Closest atoms and distances in Å follow each position.
Fractional coordinates of all 15 atoms:
1 Ca 0.0000 0.5000 0.5000  6 Te 3.11-3.22
2 Ca 0.5000 0.0000 0.5000  6 Te 3.11-3.22
3 Ca 0.5000 0.5000 0.0000  6 Te 3.11-3.22
4 Ta 0.0000 0.0000 0.0000  6 Te 2.82
5 Tl 0.0000 0.0000 0.5000  6 Te 3.28-3.35
6 Tl 0.0000 0.5000 0.0000  6 Te 3.28-3.35
7 Tl 0.5000 0.0000 0.0000  6 Te 3.28-3.35
8 Te 0.2189 0.2189 0.7776  1 Ta 2.82
9 Te 0.2189 0.7776 0.2189  1 Ta 2.82
10 Te 0.2224 0.7811 0.7811  1 Ta 2.82
11 Te 0.2587 0.2587 0.2587  3 Ca 3.11, 3 Tl 3.35
12 Te 0.7413 0.7413 0.7413  3 Ca 3.11, 3 Tl 3.35
13 Te 0.7776 0.2189 0.2189  1 Ta 2.82
14 Te 0.7811 0.2224 0.7811  1 Ta 2.82
15 Te 0.7811 0.7811 0.2224  1 Ta 2.82

Computed properties:
- Magnetic moment: 0.00 μB per cell
- Uncorrected formation energy: -0.734 eV/atom

---

No. 3
Below is a geometry-optimized MgTlBr2 structure, with properties calculated at the PBE-GGA level.

Lattice parameters (Å, degrees): 7.7727 7.7727 7.7727 90.00 90.00 90.00
Closest atoms and distances in Å follow each position.
Fractional coordinates of all 16 atoms:
1 Mg 0.0000 0.0000 0.0000  4 Tl 3.37, 4 Br 3.37
2 Mg 0.0000 0.5000 0.5000  4 Tl 3.37, 4 Br 3.37
3 Mg 0.5000 0.0000 0.5000  4 Tl 3.37, 4 Br 3.37
4 Mg 0.5000 0.5000 0.0000  4 Tl 3.37, 4 Br 3.37
5 Tl 0.2500 0.2500 0.2500  4 Br 3.37, 4 Mg 3.37
6 Tl 0.2500 0.7500 0.7500  4 Br 3.37, 4 Mg 3.37
7 Tl 0.7500 0.2500 0.7500  4 Br 3.37, 4 Mg 3.37
8 Tl 0.7500 0.7500 0.2500  4 Br 3.37, 4 Mg 3.37
9 Br 0.0000 0.0000 0.5000  4 Tl 3.37, 4 Br 3.37
10 Br 0.0000 0.5000 0.0000  4 Tl 3.37, 4 Br 3.37
11 Br 0.2500 0.2500 0.7500  4 Br 3.37, 4 Mg 3.37
12 Br 0.2500 0.7500 0.2500  4 Br 3.37, 4 Mg 3.37
13 Br 0.5000 0.0000 0.0000  4 Tl 3.37, 4 Br 3.37
14 Br 0.5000 0.5000 0.5000  4 Br 3.37, 4 Tl 3.37
15 Br 0.7500 0.2500 0.2500  4 Br 3.37, 4 Mg 3.37
16 Br 0.7500 0.7500 0.7500  4 Br 3.37, 4 Mg 3.37

Computed properties:
- Magnetic moment: 3.89 μB per cell
- Uncorrected formation energy: -0.309 eV/atom

---

No. 4
Below is a geometry-optimized YCoGe2Ru structure, with properties calculated at the PBE-GGA level.

Lattice parameters (Å, degrees): 4.1024 4.1024 10.1071 90.00 90.00 90.00
Closest atoms and distances in Å follow each position.
Fractional coordinates of all 10 atoms:
1 Y 0.0000 0.0000 0.0000  8 Ge 3.17, 4 Co 3.25, 4 Ru 3.25
2 Y 0.5000 0.5000 0.5000  8 Ge 3.17, 4 Co 3.25, 4 Ru 3.25
3 Co 0.0000 0.5000 0.2500  4 Ge 2.40
4 Co 0.5000 0.0000 0.7500  4 Ge 2.40
5 Ge 0.0000 0.0000 0.3725  2 Co 2.40, 2 Ru 2.40, 1 Ge 2.58
6 Ge 0.0000 0.0000 0.6275  2 Co 2.40, 2 Ru 2.40, 1 Ge 2.58
7 Ge 0.5000 0.5000 0.1275  2 Co 2.40, 2 Ru 2.40, 1 Ge 2.58
8 Ge 0.5000 0.5000 0.8725  2 Co 2.40, 2 Ru 2.40, 1 Ge 2.58
9 Ru 0.0000 0.5000 0.7500  4 Ge 2.40
10 Ru 0.5000 0.0000 0.2500  4 Ge 2.40

Computed properties:
- Magnetic moment: 0.00 μB per cell
- Energy of formation from the pure elements: -626 meV/atom

---

No. 5
Below is a geometry-optimized Li2La3MgPd9 structure, with properties calculated at the PBE-GGA level.

Lattice parameters (Å, degrees): 5.8850 5.8850 10.2396 90.00 90.00 120.00
Closest atoms and distances in Å follow each position.
Fractional coordinates of all 15 atoms:
1 Li 0.3333 0.6667 0.1538  6 Pd 2.32
2 Li 0.6667 0.3333 0.8462  6 Pd 2.32
3 La 0.0000 0.0000 0.0000  6 Pd 2.94
4 La 0.3333 0.6667 0.7133  6 Pd 2.95
5 La 0.6667 0.3333 0.2867  6 Pd 2.95
6 Mg 0.0000 0.0000 0.5000  6 Pd 2.60
7 Pd 0.0000 0.5000 0.0000  2 Li 2.32
8 Pd 0.1623 0.3245 0.3036  1 Li 2.32
9 Pd 0.1623 0.8377 0.3036  1 Li 2.32
10 Pd 0.3245 0.1623 0.6964  1 Li 2.32
11 Pd 0.5000 0.0000 0.0000  2 Li 2.32
12 Pd 0.5000 0.5000 0.0000  2 Li 2.32
13 Pd 0.6755 0.8377 0.3036  1 Li 2.32
14 Pd 0.8377 0.1623 0.6964  1 Li 2.32
15 Pd 0.8377 0.6755 0.6964  1 Li 2.32

Computed properties:
- Magnetic moment: 0.00 μB per cell
- Energy of formation from the pure elements: -534 meV/atom

---

No. 6
Below is a geometry-optimized Tb2NdHo3 structure, with properties calculated at the PBE-GGA level.

Lattice parameters (Å, degrees): 6.6283 6.6283 8.9474 98.32 98.32 94.94
Closest atoms and distances in Å follow each position.
Fractional coordinates of all 12 atoms:
1 Tb 0.1239 0.6281 0.8750  2 Tb 3.47-3.50, 9 Ho 3.59-3.74, 3 Nd 3.64-3.80
2 Tb 0.3719 0.8761 0.6250  2 Tb 3.47-3.50, 9 Ho 3.59-3.74, 3 Nd 3.64-3.80
3 Tb 0.6281 0.1239 0.3750  2 Tb 3.47-3.50, 9 Ho 3.59-3.74, 3 Nd 3.64-3.80
4 Tb 0.8761 0.3719 0.1250  2 Tb 3.47-3.50, 9 Ho 3.59-3.74, 3 Nd 3.64-3.80
5 Nd 0.4066 0.5934 0.2500  5 Ho 3.24-3.49
6 Nd 0.5934 0.4066 0.7500  5 Ho 3.24-3.49
7 Ho 0.0741 0.9259 0.2500  1 Nd 3.25, 4 Ho 3.26-3.49, 2 Tb 3.59
8 Ho 0.1722 0.3391 0.5057  2 Nd 3.24-3.49, 3 Ho 3.26-3.49
9 Ho 0.3391 0.1722 0.0057  2 Nd 3.24-3.49, 3 Ho 3.26-3.49
10 Ho 0.6609 0.8278 0.9943  2 Nd 3.24-3.49, 3 Ho 3.26-3.49
11 Ho 0.8278 0.6609 0.4943  2 Nd 3.24-3.49, 3 Ho 3.26-3.49
12 Ho 0.9259 0.0741 0.7500  1 Nd 3.25, 4 Ho 3.26-3.49, 2 Tb 3.59

Computed properties:
- Magnetic moment: 0.00 μB per cell
- Energy of formation from the pure elements: 68 meV/atom

---

No. 7
Below is a geometry-optimized Li2SmGe4 structure, with properties calculated at the PBE-GGA level.

Lattice parameters (Å, degrees): 6.8471 6.8471 5.6895 90.00 90.00 90.00
Closest atoms and distances in Å follow each position.
Fractional coordinates of all 14 atoms:
1 Li 0.0000 0.5000 0.2500  2 Li 2.84, 8 Ge 2.86
2 Li 0.0000 0.5000 0.7500  2 Li 2.84, 8 Ge 2.86
3 Li 0.5000 0.0000 0.2500  2 Li 2.84, 8 Ge 2.86
4 Li 0.5000 0.0000 0.7500  2 Li 2.84, 8 Ge 2.86
5 Sm 0.0000 0.0000 0.0000  4 Ge 2.98
6 Sm 0.5000 0.5000 0.5000  4 Ge 2.98
7 Ge 0.1924 0.1924 0.5000  2 Ge 2.64, 4 Li 2.86
8 Ge 0.1924 0.8076 0.5000  2 Ge 2.64, 4 Li 2.86
9 Ge 0.3076 0.3076 0.0000  2 Ge 2.64, 4 Li 2.86
10 Ge 0.3076 0.6924 0.0000  2 Ge 2.64, 4 Li 2.86
11 Ge 0.6924 0.3076 0.0000  2 Ge 2.64, 4 Li 2.86
12 Ge 0.6924 0.6924 0.0000  2 Ge 2.64, 4 Li 2.86
13 Ge 0.8076 0.1924 0.5000  2 Ge 2.64, 4 Li 2.86
14 Ge 0.8076 0.8076 0.5000  2 Ge 2.64, 4 Li 2.86

Computed properties:
- Magnetic moment: 0.00 μB per cell
- Energy of formation from the pure elements: -394 meV/atom

---

No. 8
Below is a geometry-optimized DyTmLuZn structure, with properties calculated at the PBE-GGA level.

Lattice parameters (Å, degrees): 7.4426 7.4426 7.4426 90.00 90.00 90.00
Closest atoms and distances in Å follow each position.
Fractional coordinates of all 16 atoms:
1 Dy 0.0000 0.0000 0.0000  4 Lu 3.22, 4 Zn 3.22
2 Dy 0.0000 0.5000 0.5000  4 Lu 3.22, 4 Zn 3.22
3 Dy 0.5000 0.0000 0.5000  4 Lu 3.22, 4 Zn 3.22
4 Dy 0.5000 0.5000 0.0000  4 Lu 3.22, 4 Zn 3.22
5 Tm 0.0000 0.0000 0.5000  4 Zn 3.22, 4 Lu 3.22
6 Tm 0.0000 0.5000 0.0000  4 Zn 3.22, 4 Lu 3.22
7 Tm 0.5000 0.0000 0.0000  4 Zn 3.22, 4 Lu 3.22
8 Tm 0.5000 0.5000 0.5000  4 Zn 3.22, 4 Lu 3.22
9 Lu 0.2500 0.2500 0.2500  4 Tm 3.22, 4 Dy 3.22
10 Lu 0.2500 0.7500 0.7500  4 Dy 3.22, 4 Tm 3.22
11 Lu 0.7500 0.2500 0.7500  4 Dy 3.22, 4 Tm 3.22
12 Lu 0.7500 0.7500 0.2500  4 Dy 3.22, 4 Tm 3.22
13 Zn 0.2500 0.2500 0.7500  4 Dy 3.22, 4 Tm 3.22
14 Zn 0.2500 0.7500 0.2500  4 Dy 3.22, 4 Tm 3.22
15 Zn 0.7500 0.2500 0.2500  4 Dy 3.22, 4 Tm 3.22
16 Zn 0.7500 0.7500 0.7500  4 Dy 3.22, 4 Tm 3.22

Computed properties:
- Magnetic moment: 0.00 μB per cell
- Energy of formation from the pure elements: 30 meV/atom

---

No. 9
Below is a geometry-optimized MgSc2AuI structure, with properties calculated at the PBE-GGA level.

Lattice parameters (Å, degrees): 5.2823 5.2823 5.3030 90.00 90.00 90.00
Closest atoms and distances in Å follow each position.
Fractional coordinates of all 5 atoms:
1 Mg 0.0000 0.0000 0.0000  4 Au 3.74, 8 Sc 3.74
2 Sc 0.0000 0.5000 0.5000  2 I 2.64
3 Sc 0.5000 0.0000 0.5000  2 I 2.64
4 Au 0.5000 0.5000 0.0000  2 I 2.65
5 I 0.5000 0.5000 0.5000  4 Sc 2.64, 2 Au 2.65

Computed properties:
- Magnetic moment: 0.00 μB per cell
- Uncorrected formation energy: 0.451 eV/atom

---

No. 10
Below is a geometry-optimized Ce2Ho3Co4 structure, with properties calculated at the PBE-GGA level.

Lattice parameters (Å, degrees): 5.7118 5.7118 8.7477 99.43 99.43 40.54
Closest atoms and distances in Å follow each position.
Fractional coordinates of all 9 atoms:
1 Ce 0.1795 0.1795 0.2823  5 Co 2.51-2.59
2 Ce 0.8205 0.8205 0.7177  5 Co 2.51-2.59
3 Ho 0.1214 0.1214 0.8862  6 Co 2.88-3.10
4 Ho 0.5000 0.5000 0.5000  4 Co 2.96
5 Ho 0.8786 0.8786 0.1138  6 Co 2.88-3.10
6 Co 0.2062 0.2062 0.5821  3 Ce 2.51-2.59, 2 Co 2.71
7 Co 0.4105 0.4105 0.8852  1 Co 2.52, 2 Ce 2.55
8 Co 0.5895 0.5895 0.1148  1 Co 2.52, 2 Ce 2.55
9 Co 0.7938 0.7938 0.4179  3 Ce 2.51-2.59, 2 Co 2.71

Computed properties:
- Magnetic moment: 0.00 μB per cell
- Energy of formation from the pure elements: -203 meV/atom

---

No. 11
Below is a geometry-optimized ZnAs2Se structure, with properties calculated at the PBE-GGA level.

Lattice parameters (Å, degrees): 5.5012 7.6135 4.6860 90.00 125.44 90.00
Closest atoms and distances in Å follow each position.
Fractional coordinates of all 8 atoms:
1 Zn 0.0000 0.0000 0.0000  4 As 2.70, 2 Se 2.75
2 Zn 0.5000 0.5000 0.0000  4 As 2.70, 2 Se 2.75
3 As 0.2500 0.2500 0.5000  2 Se 2.70, 2 Zn 2.70, 2 As 2.75
4 As 0.2500 0.7500 0.5000  2 Se 2.70, 2 Zn 2.70, 2 As 2.75
5 As 0.7500 0.2500 0.5000  2 Se 2.70, 2 Zn 2.70, 2 As 2.75
6 As 0.7500 0.7500 0.5000  2 Se 2.70, 2 Zn 2.70, 2 As 2.75
7 Se 0.0000 0.5000 0.0000  4 As 2.70, 2 Zn 2.75
8 Se 0.5000 0.0000 0.0000  4 As 2.70, 2 Zn 2.75

Computed properties:
- Magnetic moment: 0.00 μB per cell
- Uncorrected formation energy: 0.003 eV/atom

---

No. 12
Below is a geometry-optimized Nd6Os2Br3O structure, with properties calculated at the PBE-GGA level.

Lattice parameters (Å, degrees): 6.9585 6.9585 8.1059 98.24 98.24 119.93
Closest atoms and distances in Å follow each position.
Fractional coordinates of all 12 atoms:
1 Nd 0.0633 0.3832 0.1899  1 O 2.67, 2 Os 2.79
2 Nd 0.2553 0.2553 0.8099  1 O 2.67, 2 Os 2.79
3 Nd 0.3832 0.0633 0.1899  1 O 2.67, 2 Os 2.79
4 Nd 0.6168 0.9367 0.8101  1 O 2.67, 2 Os 2.79
5 Nd 0.7447 0.7447 0.1901  1 O 2.67, 2 Os 2.79
6 Nd 0.9367 0.6168 0.8101  1 O 2.67, 2 Os 2.79
7 Os 0.3336 0.6664 0.0000  6 Nd 2.79
8 Os 0.6664 0.3336 0.0000  6 Nd 2.79
9 Br 0.1692 0.8308 0.5000  6 Nd 3.31-3.39
10 Br 0.5000 0.5000 0.5000  6 Nd 3.31-3.42
11 Br 0.8308 0.1692 0.5000  6 Nd 3.31-3.39
12 O 0.0000 0.0000 0.0000  6 Nd 2.67

Computed properties:
- Magnetic moment: 0.00 μB per cell
- Uncorrected formation energy: -1.106 eV/atom

---

These records have calculated volume values of 22.1, 35.7, 29.3, 17.0, 20.5, 31.9, 19.1, 25.8, 29.6, 20.3, 20.0, 27.2 Å³ per atom, in the order they appear.